1.
## PrCu3S3 (GGA-PBE)

Data for crystalline PrCu3S3 at its relaxed geometry.

**Raw formation energy**: -5.85 eV per formula unit
**SG**: No. 148

Cell: 6.7820 6.7820 7.6632 Å, 63.74 63.74 60.00°
Last column: nearest neighbours and their distance in Å.
Fractional positions:
Pr1 0.3335 0.3335 0.9995  6 S 2.86
Pr2 0.6665 0.6665 0.0005  6 S 2.86
Cu1 0.4658 0.7802 0.6312  4 S 2.33-2.42
Cu2 0.7802 0.1228 0.6312  4 S 2.33-2.42
Cu3 0.1228 0.4658 0.6312  4 S 2.33-2.42
Cu4 0.8772 0.5342 0.3688  4 S 2.33-2.42
Cu5 0.2198 0.8772 0.3688  4 S 2.33-2.42
Cu6 0.5342 0.2198 0.3688  4 S 2.33-2.42
S1 0.2405 0.5832 0.2638  4 Cu 2.33-2.42
S2 0.9125 0.2405 0.2638  4 Cu 2.33-2.42
S3 0.5832 0.9125 0.2638  4 Cu 2.33-2.42
S4 0.4168 0.0875 0.7362  4 Cu 2.33-2.42
S5 0.0875 0.7595 0.7362  4 Cu 2.33-2.42
S6 0.7595 0.4168 0.7362  4 Cu 2.33-2.42

2.
## Pr2ScCuS5 (GGA-PBE)

Data for crystalline Pr2ScCuS5 at its relaxed geometry.

**N(E_F)**: 0.04 states/eV per cell
**Raw formation energy**: -15.56 eV per formula unit
**SG**: No. 36

Cell: 3.8855 8.5660 11.5572 Å, 90.00 90.00 103.11°
Last column: nearest neighbours and their distance in Å.
Fractional positions:
Pr1 0.8739 0.7478 0.8099  8 S 2.87-3.19
Pr2 0.1103 0.2207 0.6883  8 S 2.89-3.06
Pr3 0.1261 0.2522 0.3099  8 S 2.87-3.19
Pr4 0.8897 0.7793 0.1883  8 S 2.89-3.06
Sc1 0.8058 0.6116 0.5118  6 S 2.49-2.64
Sc2 0.1942 0.3884 0.0118  6 S 2.49-2.64
Cu1 0.5631 0.1262 0.9529  4 S 2.27-2.41
Cu2 0.4369 0.8738 0.4529  4 S 2.27-2.41
S1 0.3522 0.7044 0.0027  1 Sc 2.64
S2 0.6911 0.3823 0.8569  1 Cu 2.41, 2 Sc 2.64
S3 0.4985 0.9969 0.7797  1 Cu 2.27
S4 0.2876 0.5753 0.6640  2 Sc 2.64, 2 Pr 2.95
S5 0.9513 0.9026 0.5577  2 Cu 2.30, 1 Sc 2.49
S6 0.6478 0.2956 0.5027  1 Sc 2.64
S7 0.3089 0.6177 0.3569  1 Cu 2.41, 2 Sc 2.64
S8 0.5015 0.0031 0.2797  1 Cu 2.27
S9 0.7124 0.4247 0.1640  2 Sc 2.64, 2 Pr 2.95
S10 0.0487 0.0974 0.0577  2 Cu 2.30, 1 Sc 2.49

3.
## PrScCu2S4 (GGA-PBE)

Data for crystalline PrScCu2S4 at its relaxed geometry.

**N(E_F)**: 0.43 states/eV per cell
**Raw formation energy**: -9.38 eV per formula unit
**SG**: No. 23

Cell: 6.3525 6.0072 6.0072 Å, 68.50 58.08 58.08°
Last column: nearest neighbours and their distance in Å.
Fractional positions:
Pr1 0.0000 0.0000 0.0000  8 S 3.01-3.11
Sc1 0.5000 0.5000 0.5000  4 S 2.46
Cu1 0.1681 0.3319 0.3319  2 S 2.23
Cu2 0.8319 0.6681 0.6681  2 S 2.23
S1 0.4624 0.1065 0.5167  1 Cu 2.23, 1 Sc 2.46
S2 0.0855 0.8935 0.4833  1 Cu 2.23, 1 Sc 2.46
S3 0.9145 0.5167 0.1065  1 Cu 2.23, 1 Sc 2.46
S4 0.5376 0.4833 0.8935  1 Cu 2.23, 1 Sc 2.46

4.
## Pr6CuSe3S2 (GGA-PBE)

Data for crystalline Pr6CuSe3S2 at its relaxed geometry.

**N(E_F)**: 5.81 states/eV per cell
**Raw formation energy**: -19.57 eV per formula unit
**SG**: No. 12

Cell: 7.2593 7.2593 7.3309 Å, 99.53 99.53 119.95°
Last column: nearest neighbours and their distance in Å.
Fractional positions:
Pr1 0.9213 0.5839 0.7610  2 S 2.92-2.93, 1 Cu 2.95, 3 Se 3.00-3.03
Pr2 0.7428 0.7428 0.2381  2 S 2.91, 1 Cu 2.95, 3 Se 3.01-3.03
Pr3 0.0787 0.4161 0.2390  2 S 2.92-2.93, 1 Cu 2.95, 3 Se 3.00-3.03
Pr4 0.5839 0.9213 0.7610  2 S 2.92-2.93, 1 Cu 2.95, 3 Se 3.00-3.03
Pr5 0.2572 0.2572 0.7619  2 S 2.91, 1 Cu 2.95, 3 Se 3.01-3.03
Pr6 0.4161 0.0787 0.2390  2 S 2.92-2.93, 1 Cu 2.95, 3 Se 3.00-3.03
Cu1 0.0000 0.0000 0.0000  6 Pr 2.95
Se1 0.1667 0.8333 0.5000  6 Pr 3.00-3.03
Se2 0.8333 0.1667 0.5000  6 Pr 3.00-3.03
Se3 0.5000 0.5000 0.5000  6 Pr 3.01-3.03
S1 0.3341 0.6659 0.0000  6 Pr 2.91-2.93
S2 0.6659 0.3341 0.0000  6 Pr 2.91-2.93

5.
## Pr8CuSe4S3 (GGA-PBE)

Data for crystalline Pr8CuSe4S3 at its relaxed geometry.

**N(E_F)**: 7.32 states/eV per cell
**Raw formation energy**: -27.31 eV per formula unit
**SG**: No. 166

Cell: 8.3539 8.4535 8.3538 Å, 119.61 120.00 90.00°
Last column: nearest neighbours and their distance in Å.
Fractional positions:
Pr1 0.2468 0.7370 0.9902  2 S 2.91, 1 Cu 2.93, 3 Se 3.01-3.03
Pr2 0.2468 0.7370 0.4935  2 S 2.91, 1 Cu 2.93, 3 Se 3.01-3.03
Pr3 0.2566 0.2697 0.5131  3 S 2.89, 3 Se 3.05
Pr4 0.7435 0.7370 0.9902  2 S 2.91, 1 Cu 2.93, 3 Se 3.01-3.03
Pr5 0.2565 0.2630 0.0098  2 S 2.91, 1 Cu 2.93, 3 Se 3.01-3.03
Pr6 0.7434 0.7303 0.4869  3 S 2.89, 3 Se 3.05
Pr7 0.7532 0.2630 0.5065  2 S 2.91, 1 Cu 2.93, 3 Se 3.01-3.03
Pr8 0.7532 0.2630 0.0098  2 S 2.91, 1 Cu 2.93, 3 Se 3.01-3.03
Cu1 0.0000 0.5000 0.0000  6 Pr 2.93
Se1 0.5000 0.0000 0.0000  6 Pr 3.01
Se2 0.5000 0.0000 0.5000  6 Pr 3.03-3.05
Se3 0.0000 0.0000 0.0000  6 Pr 3.03-3.05
Se4 0.0000 0.0000 0.5000  6 Pr 3.03-3.05
S1 0.5000 0.5000 0.0000  6 Pr 2.89-2.91
S2 0.5000 0.5000 0.5000  6 Pr 2.89-2.91
S3 0.0000 0.5000 0.5000  6 Pr 2.89-2.91

6.
## PrCuSeS (GGA-PBE)

Data for crystalline PrCuSeS at its relaxed geometry.

**Raw formation energy**: -4.80 eV per formula unit
**SG**: No. 166

Cell: 4.4101 4.4101 11.3324 Å, 78.78 78.78 60.00°
Last column: nearest neighbours and their distance in Å.
Fractional positions:
Pr1 0.1054 0.1054 0.6837  4 S 2.74-3.05
Pr2 0.8946 0.8946 0.3163  4 S 2.74-3.05
Cu1 0.6978 0.6978 0.9066  4 Se 2.55-2.59
Cu2 0.3022 0.3022 0.0934  4 Se 2.55-2.59
Se1 0.6209 0.6209 0.1372  4 Cu 2.55-2.59
Se2 0.3791 0.3791 0.8628  4 Cu 2.55-2.59
S1 0.8026 0.8026 0.5923  4 Pr 2.74-3.05
S2 0.1974 0.1974 0.4077  4 Pr 2.74-3.05